This record from the Alexandria database describes a geometry-optimized MnNbOF2 structure. The functional is GGA+U.

Unit cell a=4.0402 b=4.0402 c=4.2030 alpha=90.00 beta=90.00 gamma=90.00
Closest atoms and distances in Å follow each position.
Positions (direct):
Mn1 0.0000 0.0000 0.0000  4 F 2.02, 2 O 2.10
Nb1 0.5000 0.5000 0.5000  4 O 2.86, 8 F 2.91
O1 0.0000 0.0000 0.5000  2 Mn 2.10
F1 0.0000 0.5000 0.0000  2 Mn 2.02
F2 0.5000 0.0000 0.0000  2 Mn 2.02

energy above the most stable polymorph in this dataset = 458 meV per atom
symmetry = P4/mmm (123)
V = 13.7 A^3/atom
crystal system = tetragonal
Fermi-level density of states = 6.13 states/eV/cell